DFT (PBE) results for a geometry-optimized UCo2Si structure.

The structure in CIF format:
```
data_UCo2Si
_symmetry_space_group_name_H-M 'P 1 21/m 1'
_symmetry_Int_Tables_number 11
_cell_length_a 4.7051
_cell_length_b 4.0684
_cell_length_c 6.2312
_cell_angle_alpha 90.00
_cell_angle_beta 103.10
_cell_angle_gamma 90.00
loop_
_symmetry_equiv_pos_as_xyz
'x,y,z'
'-x,-y,-z'
'-x,y+1/2,-z'
'x,-y+1/2,z'
loop_
_atom_site_label
_atom_site_type_symbol
_atom_site_fract_x
_atom_site_fract_y
_atom_site_fract_z
U1 U 0.1670 0.2500 0.2261
Co1 Co 0.3294 0.7500 0.9335
Co2 Co 0.3342 0.7500 0.5228
Si1 Si 0.3119 0.2500 0.7213
```

Values from the calculation:
calculated density: 11.0 g cm⁻³
DOS at the Fermi energy: 1.40 states/eV per atom
total magnetization: 0.111 μB per atom
raw formation energy: -431 meV/atom